# Ti2BiMo, optimized geometry, DFT PBE-GGA
# - Formation enthalpy at 0 K: -85 meV/atom
# - Magnetic moment: 0.0001 μB/atom
# - DOS(E_F): 3.27 states/eV per cell
# - DFT total energy: -7.7105 eV/atom
data_Ti2BiMo
_chemical_formula_sum 'Ti2 Bi1 Mo1'
_cell_length_a 3.4768
_cell_length_b 3.4768
_cell_length_c 6.0739
_cell_angle_alpha 90.00
_cell_angle_beta 90.00
_cell_angle_gamma 90.00
_space_group_name_H-M_alt 'P 4/m m m'
_space_group_IT_number 123
_space_group_name_Hall '-P 4 2'
loop_
_atom_site_label
_atom_site_fract_x
_atom_site_fract_y
_atom_site_fract_z
_atom_site_occupancy
Ti1 0.0000 0.0000 0.2242 1
Bi1 0.5000 0.5000 0.5000 1
Mo1 0.5000 0.5000 0.0000 1